[1]
## LiAcTmPd (GGA-PBE)

Data for LiAcTmPd after structural relaxation.

## Properties
electronic total energy = -16.9 eV per formula unit
space-group type = F-43m (216)

a = 7.4139 Å, b = 7.4139 Å, c = 7.4139 Å
α = 90.00°, β = 90.00°, γ = 90.00°
Fractional positions:
Li 0.0000 0.0000 0.0000
Li 0.0000 0.5000 0.5000
Li 0.5000 0.0000 0.5000
Li 0.5000 0.5000 0.0000
Ac 0.2500 0.2500 0.2500
Ac 0.2500 0.7500 0.7500
Ac 0.7500 0.2500 0.7500
Ac 0.7500 0.7500 0.2500
Tm 0.2500 0.2500 0.7500
Tm 0.2500 0.7500 0.2500
Tm 0.7500 0.2500 0.2500
Tm 0.7500 0.7500 0.7500
Pd 0.0000 0.0000 0.5000
Pd 0.0000 0.5000 0.0000
Pd 0.5000 0.0000 0.0000
Pd 0.5000 0.5000 0.5000

[2]
## KTe2IN (GGA-PBE)

Data for KTe2IN after structural relaxation.

## Properties
E above lowest polymorph = 0 meV per atom
formation energy from raw total energies = 0.86 eV/f.u.
space-group type = P4/mmm (123)

a = 4.6072 Å, b = 4.6072 Å, c = 8.8536 Å
α = 90.00°, β = 90.00°, γ = 90.00°
Fractional positions:
K 0.0000 0.0000 0.0000
Te 0.0000 0.5000 0.5000
Te 0.5000 0.0000 0.5000
I 0.5000 0.5000 0.0000
N 0.5000 0.5000 0.5000

[3]
## Li2CrCl (GGA-PBE)

Data for Li2CrCl after structural relaxation.

## Properties
E above lowest polymorph = 248 meV per atom
formation energy from raw total energies = -0.37 eV/f.u.
space-group type = Immm (71)

a = 3.2303 Å, b = 6.6088 Å, c = 8.7352 Å
α = 90.00°, β = 90.00°, γ = 90.00°
Fractional positions:
Li 0.0000 0.0000 0.1922
Li 0.0000 0.0000 0.8078
Li 0.5000 0.5000 0.3078
Li 0.5000 0.5000 0.6922
Cr 0.0000 0.5000 0.0000
Cr 0.5000 0.0000 0.5000
Cl 0.0000 0.5000 0.5000
Cl 0.5000 0.0000 0.0000

[4]
## Cd3RuF (GGA-PBE)

Data for Cd3RuF after structural relaxation.

## Properties
E above lowest polymorph = 0 meV per atom
formation energy from raw total energies = 0.12 eV/f.u.
space-group type = Pm-3m (221)

a = 4.5614 Å, b = 4.5614 Å, c = 4.5614 Å
α = 90.00°, β = 90.00°, γ = 90.00°
Fractional positions:
Cd 0.0000 0.0000 0.5000
Cd 0.0000 0.5000 0.0000
Cd 0.5000 0.0000 0.0000
Ru 0.5000 0.5000 0.5000
F 0.0000 0.0000 0.0000

[5]
## HgPb2W (GGA-PBE)

Data for HgPb2W after structural relaxation.

## Properties
electronic total energy = -18.0 eV per formula unit
space-group type = Imm2 (44)

a = 2.9965 Å, b = 4.9099 Å, c = 14.2777 Å
α = 90.00°, β = 90.00°, γ = 90.00°
Fractional positions:
Hg 0.0000 0.0000 0.0000
Hg 0.5000 0.5000 0.5000
Pb 0.0000 0.0000 0.6307
Pb 0.0000 0.5000 0.8215
Pb 0.5000 0.0000 0.3215
Pb 0.5000 0.5000 0.1307
W 0.0000 0.5000 0.3186
W 0.5000 0.0000 0.8186

[6]
## La5Pm5Sm2 (GGA-PBE)

Data for La5Pm5Sm2 after structural relaxation.

## Properties
electronic total energy = -57.6 eV per formula unit
space-group type = C2/m (12)

a = 8.2661 Å, b = 8.2661 Å, c = 11.6236 Å
α = 115.20°, β = 115.20°, γ = 36.82°
Fractional positions:
La 0.0000 0.0000 0.0000
La 0.0823 0.0823 0.7488
La 0.2493 0.2493 0.2512
La 0.7507 0.7507 0.7488
La 0.9177 0.9177 0.2512
Pm 0.3330 0.3330 0.0003
Pm 0.4154 0.4154 0.7475
Pm 0.5000 0.5000 0.5000
Pm 0.5846 0.5846 0.2525
Pm 0.6670 0.6670 0.9997
Sm 0.1669 0.1669 0.4999
Sm 0.8331 0.8331 0.5001

[7]
## CaTaTe2 (GGA-PBE)

Data for CaTaTe2 after structural relaxation.

## Properties
E above lowest polymorph = 176 meV per atom
formation energy from raw total energies = -1.19 eV/f.u.
space-group type = Fm-3m (225)

a = 7.2192 Å, b = 7.2192 Å, c = 7.2192 Å
α = 90.00°, β = 90.00°, γ = 90.00°
Fractional positions:
Ca 0.0000 0.0000 0.0000
Ca 0.0000 0.5000 0.5000
Ca 0.5000 0.0000 0.5000
Ca 0.5000 0.5000 0.0000
Ta 0.0000 0.0000 0.5000
Ta 0.0000 0.5000 0.0000
Ta 0.5000 0.0000 0.0000
Ta 0.5000 0.5000 0.5000
Te 0.2500 0.2500 0.2500
Te 0.2500 0.2500 0.7500
Te 0.2500 0.7500 0.2500
Te 0.2500 0.7500 0.7500
Te 0.7500 0.2500 0.2500
Te 0.7500 0.2500 0.7500
Te 0.7500 0.7500 0.2500
Te 0.7500 0.7500 0.7500

[8]
## NdAlCuAu6 (GGA-PBE)

Data for NdAlCuAu6 after structural relaxation.

## Properties
electronic total energy = -34.4 eV per formula unit
space-group type = Imma (74)

a = 7.9935 Å, b = 7.9935 Å, c = 7.9935 Å
α = 124.92°, β = 111.05°, γ = 93.92°
Fractional positions:
Nd 0.4672 0.2172 0.2500
Nd 0.5328 0.7828 0.7500
Al 0.0000 0.0000 0.0000
Al 0.5000 0.0000 0.5000
Cu 0.0000 0.0000 0.5000
Cu 0.0000 0.5000 0.0000
Au 0.1338 0.4275 0.3061
Au 0.1338 0.8277 0.7063
Au 0.1606 0.9106 0.2500
Au 0.2315 0.4815 0.7500
Au 0.3786 0.1723 0.8061
Au 0.3786 0.5725 0.2063
Au 0.6214 0.4275 0.7937
Au 0.6214 0.8277 0.1939
Au 0.7685 0.5185 0.2500
Au 0.8394 0.0894 0.7500
Au 0.8662 0.1723 0.2937
Au 0.8662 0.5725 0.6939

[9]
## Ca2SnGe (GGA-PBE)

Data for Ca2SnGe after structural relaxation.

## Properties
electronic total energy = -14.8 eV per formula unit
space-group type = P4/mmm (123)

a = 4.7942 Å, b = 4.7942 Å, c = 4.4847 Å
α = 90.00°, β = 90.00°, γ = 90.00°
Fractional positions:
Ca 0.0000 0.5000 0.0000
Ca 0.5000 0.0000 0.0000
Sn 0.0000 0.0000 0.5000
Ge 0.5000 0.5000 0.5000

[10]
## LaIn2Sb (GGA-PBE)

Data for LaIn2Sb after structural relaxation.

## Properties
E above lowest polymorph = 36 meV per atom
formation energy from raw total energies = -2.18 eV/f.u.
space-group type = I-4m2 (119)

a = 4.7179 Å, b = 4.7179 Å, c = 10.0574 Å
α = 90.00°, β = 90.00°, γ = 90.00°
Fractional positions:
La 0.0000 0.0000 0.0000
La 0.5000 0.5000 0.5000
In 0.0000 0.0000 0.5000
In 0.0000 0.5000 0.2500
In 0.5000 0.0000 0.7500
In 0.5000 0.5000 0.0000
Sb 0.0000 0.5000 0.7500
Sb 0.5000 0.0000 0.2500

[11]
## Sc2IrAuC (GGA-PBE)

Data for Sc2IrAuC after structural relaxation.

## Properties
electronic total energy = -37.4 eV per formula unit
space-group type = P4/mmm (123)

a = 4.6217 Å, b = 4.6217 Å, c = 3.8703 Å
α = 90.00°, β = 90.00°, γ = 90.00°
Fractional positions:
Sc 0.0000 0.5000 0.0000
Sc 0.5000 0.0000 0.0000
Ir 0.0000 0.0000 0.5000
Au 0.5000 0.5000 0.5000
C 0.0000 0.0000 0.0000

[12]
## VCdBiC2 (GGA-PBE)

Data for VCdBiC2 after structural relaxation.

## Properties
electronic total energy = -18.6 eV per formula unit
space-group type = P4/mmm (123)

a = 4.2248 Å, b = 4.2248 Å, c = 5.8143 Å
α = 90.00°, β = 90.00°, γ = 90.00°
Fractional positions:
V 0.0000 0.0000 0.0000
Cd 0.5000 0.5000 0.5000
Bi 0.5000 0.5000 0.0000
C 0.0000 0.5000 0.5000
C 0.5000 0.0000 0.5000